1.
Below is crystalline TcBTe3 at its relaxed geometry, with properties calculated at the GGA-PBE level.

POSCAR file:
```
TcBTe3
1.0
-3.7092 2.4787 -1.4941
-0.1172 -2.5554 -3.9484
-2.8918 -3.0757 2.0764
Te Tc B
3 1 1
Direct
0.0000 0.5000 0.0000
0.0000 0.0000 0.5000
0.5000 0.0000 0.0000
0.5000 0.5000 0.5000
0.0000 0.0000 0.0000
```

Calculated values
The crystal system is cubic. Its space group is Pm-3m (221). For the total moment, the calculation gives 0.684 μB per cell. The energy above the most stable polymorph in this dataset is 0.000 eV/atom.

2.
Below is crystalline TcB2Te at its relaxed geometry, with properties calculated at the GGA-PBE level.

POSCAR file:
```
TcB2Te
1.0
5.1486 0.0000 0.0000
0.0000 5.1486 0.0000
2.5743 2.5743 4.9801
Te Tc B
2 2 4
Direct
0.7500 0.2500 0.5000
0.0000 0.0000 0.0000
0.5000 0.5000 0.0000
0.2500 0.7500 0.5000
0.5827 0.1250 0.2500
0.8750 0.8327 0.7500
0.3750 0.4173 0.7500
0.1673 0.6250 0.2500
```

Calculated values
The crystal system is tetragonal. The electronic total energy comes out at -5.93 eV per atom. Its space group is I-42d (122). For the total moment, the calculation gives 1.954 μB per cell.

3.
Below is crystalline TcBTe2 at its relaxed geometry, with properties calculated at the GGA-PBE level.

POSCAR file:
```
TcBTe2
1.0
1.9377 0.0000 8.0495
-0.9688 1.6781 8.0495
-0.9688 -1.6781 8.0495
B Te Tc
1 2 1
Direct
0.5000 0.5000 0.5000
0.8949 0.8949 0.8949
0.1051 0.1051 0.1051
0.0000 0.0000 0.0000
```

Calculated values
The crystal system is trigonal. The electronic total energy comes out at -4.73 eV per atom. Its space group is R-3m (166). For the total moment, the calculation gives 0.000 μB per cell.

4.
Below is crystalline Tc3BTe at its relaxed geometry, with properties calculated at the GGA-PBE level.

POSCAR file:
```
Tc3BTe
1.0
4.1915 0.0000 0.0000
0.0000 4.1915 0.0000
0.0000 0.0000 4.1915
Tc B Te
3 1 1
Direct
0.5000 0.0000 0.0000
0.0000 0.5000 0.0000
0.0000 0.0000 0.5000
0.0000 0.0000 0.0000
0.5000 0.5000 0.5000
```

Calculated values
The crystal system is cubic. Its space group is Pm-3m (221). For the total moment, the calculation gives 1.282 μB per cell. The energy above the most stable polymorph in this dataset is 0.000 eV/atom.

5.
Below is crystalline TcBTe2 at its relaxed geometry, with properties calculated at the GGA-PBE level.

POSCAR file:
```
TcBTe2
1.0
-0.3055 3.8309 4.3650
-4.4947 -2.9241 2.2517
0.8831 -2.4525 6.0885
Tc Te B
2 4 2
Direct
0.7500 0.2500 0.5000
0.0000 0.0000 0.0000
0.3750 0.4157 0.7500
0.5843 0.1250 0.2500
0.1657 0.6250 0.2500
0.8750 0.8343 0.7500
0.5000 0.5000 0.0000
0.2500 0.7500 0.5000
```

Calculated values
The crystal system is tetragonal. The electronic total energy comes out at -5.21 eV per atom. Its space group is I-42d (122). For the total moment, the calculation gives 0.000 μB per cell.

6.
Below is crystalline ThTcB3 at its relaxed geometry, with properties calculated at the GGA-PBE level.

POSCAR file:
```
ThTcB3
1.0
-1.0419 3.1498 2.8711
1.0811 -3.3585 4.0768
4.9910 2.5065 0.7413
Th B Tc
2 6 2
Direct
0.7624 0.7500 0.4151
0.2376 0.2500 0.5849
0.8348 0.2500 0.3188
0.1652 0.7500 0.6812
0.8946 0.5893 0.8975
0.1054 0.4107 0.1025
0.1054 0.0893 0.1025
0.8946 0.9107 0.8975
0.6193 0.2500 0.0174
0.3807 0.7500 0.9826
```

Calculated values
The crystal system is monoclinic. The electronic total energy comes out at -7.95 eV per atom. Its space group is P2_1/m (11). For the total moment, the calculation gives 0.000 μB per cell.

7.
Below is crystalline ThTcB14 at its relaxed geometry, with properties calculated at the GGA-PBE level.

POSCAR file:
```
ThTcB14
1.0
-5.5219 2.0356 -0.2906
-4.8676 -4.1167 3.9166
-2.2359 3.3621 6.2990
B Tc Th
28 2 2
Direct
0.8802 0.7536 0.4860
0.8330 0.2004 0.1336
0.4191 0.7514 0.4104
0.0809 0.0896 0.7486
0.6670 0.3664 0.2996
0.6198 0.0140 0.7464
0.2747 0.4032 0.7230
0.3306 0.3725 0.4739
0.4009 0.5968 0.2770
0.7747 0.2230 0.9032
0.9191 0.9104 0.2514
0.1694 0.0261 0.1275
0.5809 0.2486 0.5896
0.3330 0.6336 0.7004
0.2253 0.7770 0.0968
0.9009 0.7770 0.0968
0.6769 0.0261 0.1275
0.3231 0.9739 0.8725
0.6694 0.6275 0.5261
0.5991 0.4032 0.7230
0.8306 0.9739 0.8725
0.8231 0.3725 0.4739
0.1198 0.2464 0.5140
0.1670 0.7996 0.8664
0.1769 0.6275 0.5261
0.7253 0.5968 0.2770
0.0991 0.2230 0.9032
0.3802 0.9860 0.2536
0.0000 0.0000 0.5000
0.5000 0.0000 0.5000
0.2500 0.3721 0.1279
0.7500 0.6279 0.8721
```

Calculated values
The crystal system is orthorhombic. The electronic total energy comes out at -7.05 eV per atom. Its space group is Imma (74). For the total moment, the calculation gives 0.000 μB per cell.

8.
Below is crystalline ThTc2B2 at its relaxed geometry, with properties calculated at the GGA-PBE level.

POSCAR file:
```
ThTc2B2
1.0
3.0288 0.0000 -1.0994
-0.4000 4.2799 -1.1021
0.2497 0.0322 5.4095
Th Tc B
1 2 2
Direct
0.0000 0.0000 0.0000
0.6623 0.5829 0.3247
0.3377 0.4171 0.6753
0.7347 0.1076 0.4694
0.2653 0.8924 0.5306
```

Calculated values
The crystal system is monoclinic. Its space group is C2/m (12). For the total moment, the calculation gives 0.000 μB per cell. The energy above the most stable polymorph in this dataset is 0.000 eV/atom.

9.
Below is crystalline Th2TcB10 at its relaxed geometry, with properties calculated at the GGA-PBE level.

POSCAR file:
```
Th2TcB10
1.0
4.2067 0.0000 0.0000
0.0000 5.7800 0.0000
0.0000 0.0000 11.5072
B Tc Th
20 2 4
Direct
0.0000 0.3823 0.0426
0.7001 0.7285 0.3803
0.0000 0.1177 0.5426
0.0000 0.8823 0.4574
0.2999 0.7715 0.8803
0.7001 0.2285 0.1197
0.0000 0.6251 0.8029
0.0000 0.9333 0.8063
0.7001 0.2715 0.6197
0.2999 0.2285 0.1197
0.0000 0.0667 0.1937
0.2999 0.7285 0.3803
0.0000 0.4333 0.6937
0.0000 0.1251 0.6971
0.0000 0.6177 0.9574
0.0000 0.5667 0.3063
0.2999 0.2715 0.6197
0.0000 0.8749 0.3029
0.0000 0.3749 0.1971
0.7001 0.7715 0.8803
0.0000 0.0000 0.0000
0.0000 0.5000 0.5000
0.5000 0.7272 0.1289
0.5000 0.7728 0.6289
0.5000 0.2728 0.8711
0.5000 0.2272 0.3711
```

Calculated values
The crystal system is orthorhombic. The electronic total energy comes out at -7.63 eV per atom. Its space group is Pbam (55). For the total moment, the calculation gives 0.000 μB per cell.

10.
Below is crystalline ThTc2B2 at its relaxed geometry, with properties calculated at the GGA-PBE level.

POSCAR file:
```
ThTc2B2
1.0
6.0255 -0.9774 -0.0062
-2.9635 5.3366 -0.0062
-1.5274 -2.1745 5.0281
Th B Tc
2 4 4
Direct
0.1243 0.3757 0.2500
0.8757 0.6243 0.7500
0.5349 0.7852 0.0715
0.2852 0.0349 0.5715
0.4651 0.2148 0.9285
0.7148 0.9651 0.4285
0.4406 0.0594 0.2500
0.5594 0.9406 0.7500
0.1911 0.3089 0.7500
0.8089 0.6911 0.2500
```

Calculated values
The crystal system is monoclinic. Its space group is C2/c (15). For the total moment, the calculation gives 0.000 μB per cell. The energy above the most stable polymorph in this dataset is 0.041 eV/atom.

11.
Below is crystalline TiTcB at its relaxed geometry, with properties calculated at the GGA-PBE level.

POSCAR file:
```
TiTcB
1.0
3.2032 0.0000 0.0000
0.0000 3.0660 0.0000
-1.6016 0.0000 7.2073
B Ti Tc
2 2 2
Direct
0.0341 0.2500 0.0681
0.9659 0.7500 0.9319
0.5866 0.7500 0.1731
0.4134 0.2500 0.8269
0.8002 0.7500 0.6004
0.1998 0.2500 0.3996
```

Calculated values
The crystal system is orthorhombic. Its space group is Cmcm (63). For the total moment, the calculation gives 0.000 μB per cell. The energy above the most stable polymorph in this dataset is 0.000 eV/atom.

12.
Below is crystalline TiTc5B at its relaxed geometry, with properties calculated at the GGA-PBE level.

POSCAR file:
```
TiTc5B
1.0
-4.2863 0.8133 3.1175
-0.8446 -2.0312 4.8901
2.3421 6.4833 5.8564
Tc Ti B
10 2 2
Direct
0.2536 0.7464 0.2500
0.7835 0.7694 0.1601
0.3701 0.3518 0.0370
0.6299 0.6482 0.9630
0.7464 0.2536 0.7500
0.3518 0.3701 0.5370
0.6482 0.6299 0.4630
0.7694 0.7835 0.6601
0.2306 0.2165 0.3399
0.2165 0.2306 0.8399
0.2323 0.7677 0.7500
0.7677 0.2323 0.2500
0.0000 0.0000 0.5000
0.0000 0.0000 0.0000
```

Calculated values
The crystal system is monoclinic. The electronic total energy comes out at -9.41 eV per atom. Its space group is C2/c (15). For the total moment, the calculation gives 0.000 μB per cell.

13.
Below is crystalline Ti2Tc2B at its relaxed geometry, with properties calculated at the GGA-PBE level.

POSCAR file:
```
Ti2Tc2B
1.0
3.8134 0.0000 0.0000
0.0000 3.8134 0.0000
1.9067 1.9067 5.6833
Ti Tc B
2 2 1
Direct
0.7500 0.2500 0.5000
0.2500 0.7500 0.5000
0.3953 0.3953 0.2094
0.6047 0.6047 0.7906
0.0000 0.0000 0.0000
```

Calculated values
The crystal system is tetragonal. Its space group is I4/mmm (139). For the total moment, the calculation gives 0.000 μB per cell. The energy above the most stable polymorph in this dataset is 1.281 eV/atom.

14.
Below is crystalline TiTc2B at its relaxed geometry, with properties calculated at the GGA-PBE level.

POSCAR file:
```
TiTc2B
1.0
-2.7561 0.3396 1.2251
0.1762 -3.7577 1.4381
5.0442 2.8394 6.8011
B Ti Tc
2 2 4
Direct
0.1610 0.2500 0.3219
0.8390 0.7500 0.6781
0.6165 0.7500 0.2330
0.3835 0.2500 0.7670
0.2459 0.7500 0.4918
0.7541 0.2500 0.5082
0.0365 0.2500 0.0730
0.9635 0.7500 0.9270
```

Calculated values
The crystal system is orthorhombic. The electronic total energy comes out at -8.93 eV per atom. Its space group is Cmcm (63). For the total moment, the calculation gives 0.000 μB per cell.

15.
Below is crystalline Ti2TcB at its relaxed geometry, with properties calculated at the GGA-PBE level.

POSCAR file:
```
Ti2TcB
1.0
-0.2469 3.1500 -0.3324
-4.0162 -0.3689 -0.5128
-0.5470 0.3804 4.0106
Tc Ti B
1 2 1
Direct
0.5000 0.0000 0.0000
0.0000 0.0000 0.5000
0.0000 0.5000 0.0000
0.5000 0.5000 0.5000
```

Calculated values
The crystal system is tetragonal. The electronic total energy comes out at -8.46 eV per atom. Its space group is P4/mmm (123). For the total moment, the calculation gives 0.000 μB per cell.

16.
Below is crystalline Ti2TcB at its relaxed geometry, with properties calculated at the GGA-PBE level.

POSCAR file:
```
Ti2TcB
1.0
-2.6135 -3.4238 5.5501
5.9192 1.2637 3.5669
0.7809 0.8325 5.3278
Tc Ti B
2 4 2
Direct
0.0000 0.0000 0.0000
0.7500 0.2500 0.5000
0.3750 0.4439 0.7500
0.5561 0.1250 0.2500
0.1939 0.6250 0.2500
0.8750 0.8061 0.7500
0.5000 0.5000 0.0000
0.2500 0.7500 0.5000
```

Calculated values
The crystal system is tetragonal. The electronic total energy comes out at -8.08 eV per atom. Its space group is I-42d (122). For the total moment, the calculation gives 0.000 μB per cell.

17.
Below is crystalline TiTcB4 at its relaxed geometry, with properties calculated at the GGA-PBE level.

POSCAR file:
```
TiTcB4
1.0
2.8559 0.0011 1.0499
1.1471 4.0768 1.2843
-0.0060 0.0394 4.4254
Ti B Tc
1 4 1
Direct
0.5000 0.5000 0.5000
0.7546 0.9125 0.5783
0.2454 0.0875 0.4217
0.2454 0.4217 0.0875
0.7546 0.5783 0.9125
0.0000 0.0000 0.0000
```

Calculated values
The crystal system is orthorhombic. The electronic total energy comes out at -8.10 eV per atom. Its space group is Immm (71). For the total moment, the calculation gives 0.000 μB per cell.

18.
Below is crystalline TiTc2B at its relaxed geometry, with properties calculated at the GGA-PBE level.

POSCAR file:
```
TiTc2B
1.0
6.9822 0.0000 0.0000
0.0000 6.9822 0.0000
3.4911 3.4911 2.2573
Tc Ti B
4 2 2
Direct
0.3750 0.4738 0.7500
0.8750 0.7762 0.7500
0.5262 0.1250 0.2500
0.2238 0.6250 0.2500
0.7500 0.2500 0.5000
0.0000 0.0000 0.0000
0.2500 0.7500 0.5000
0.5000 0.5000 0.0000
```

Calculated values
The crystal system is tetragonal. The electronic total energy comes out at -8.96 eV per atom. Its space group is I-42d (122). For the total moment, the calculation gives 0.000 μB per cell.

19.
Below is crystalline TiTcB at its relaxed geometry, with properties calculated at the GGA-PBE level.

POSCAR file:
```
TiTcB
1.0
-1.7851 0.1979 2.3830
-2.0527 -1.6522 -1.4004
3.6285 -2.7254 1.0761
Ti B Tc
1 1 1
Direct
0.9604 0.9604 0.9208
0.6416 0.6416 0.2833
0.2480 0.2480 0.4959
```

Calculated values
The crystal system is tetragonal. Its space group is I4mm (107). For the total moment, the calculation gives 0.000 μB per cell. The energy above the most stable polymorph in this dataset is 0.374 eV/atom.

20.
Below is crystalline Ti2Tc2B at its relaxed geometry, with properties calculated at the GGA-PBE level.

POSCAR file:
```
Ti2Tc2B
1.0
-4.8504 -1.8864 2.6768
2.7964 0.1034 5.1400
-1.2184 3.9603 0.5832
Ti Tc B
4 4 2
Direct
0.6686 0.8314 0.5000
0.8314 0.3314 0.5000
0.3314 0.1686 0.5000
0.1686 0.6686 0.5000
0.6613 0.1613 0.0000
0.1613 0.3387 0.0000
0.8387 0.6613 0.0000
0.3387 0.8387 0.0000
0.5000 0.5000 0.0000
0.0000 0.0000 0.0000
```

Calculated values
The crystal system is tetragonal. Its space group is P4/mbm (127). For the total moment, the calculation gives 0.000 μB per cell. The energy above the most stable polymorph in this dataset is 0.000 eV/atom.

21.
Below is crystalline YTiTc2B at its relaxed geometry, with properties calculated at the GGA-PBE level.

POSCAR file:
```
YTiTc2B
1.0
4.3884 0.0000 0.0000
0.0000 5.4587 0.0000
0.0000 0.0000 4.3884
Ti Tc Y B
1 2 1 1
Direct
0.0000 0.0000 0.0000
0.0000 0.0000 0.5000
0.5000 0.0000 0.0000
0.0000 0.5000 0.0000
0.5000 0.5000 0.5000
```

Calculated values
The crystal system is tetragonal. The electronic total energy comes out at -6.64 eV per atom. Its space group is P4/mmm (123). For the total moment, the calculation gives 0.353 μB per cell.

22.
Below is crystalline ZrTiTc2B at its relaxed geometry, with properties calculated at the GGA-PBE level.

POSCAR file:
```
ZrTiTc2B
1.0
4.1649 0.0000 0.0000
0.0000 4.5233 0.0000
0.0000 0.0000 4.1649
Ti Zr Tc B
1 1 2 1
Direct
0.5000 0.5000 0.5000
0.0000 0.5000 0.0000
0.0000 0.0000 0.5000
0.5000 0.0000 0.0000
0.0000 0.0000 0.0000
```

Calculated values
The crystal system is tetragonal. The electronic total energy comes out at -8.80 eV per atom. Its space group is P4/mmm (123). For the total moment, the calculation gives 0.000 μB per cell.

23.
Below is crystalline TlTcB3 at its relaxed geometry, with properties calculated at the GGA-PBE level.

POSCAR file:
```
TlTcB3
1.0
4.2468 0.0000 0.0000
0.0000 4.2468 0.0000
0.0000 0.0000 4.2468
Tc B Tl
1 3 1
Direct
0.0000 0.0000 0.0000
0.5000 0.0000 0.0000
0.0000 0.0000 0.5000
0.0000 0.5000 0.0000
0.5000 0.5000 0.5000
```

Calculated values
The crystal system is cubic. Its space group is Pm-3m (221). For the total moment, the calculation gives 0.000 μB per cell. The energy above the most stable polymorph in this dataset is 0.000 eV/atom.

24.
Below is crystalline TlTc2B2 at its relaxed geometry, with properties calculated at the GGA-PBE level.

POSCAR file:
```
TlTc2B2
1.0
3.8414 0.0000 0.0000
0.0000 3.8414 0.0000
1.9207 1.9207 4.4514
Tl B Tc
1 2 2
Direct
0.0000 0.0000 0.0000
0.3961 0.3961 0.2079
0.6039 0.6039 0.7921
0.2500 0.7500 0.5000
0.7500 0.2500 0.5000
```

Calculated values
The crystal system is tetragonal. Its space group is I4/mmm (139). For the total moment, the calculation gives 0.000 μB per cell. The energy above the most stable polymorph in this dataset is 0.000 eV/atom.